BaMgP GGA-PBE relaxed; energy of formation = -0.3574 eV per atom; SG = Fmm2, No. 42; total magnetic moment = 0.79 μB per cell
1.0
-2.5269 5.4881 2.1126
-4.9551 4.0325 -0.3597
-2.3346 -0.8691 2.8145
Ba Mg P
1 1 1
Direct
0.0075 0.0075 0.9925
0.2800 0.2800 0.7200
0.7125 0.7125 0.2875

Y2CoMo GGA-PBE relaxed; energy of formation = 0.0770 eV per atom; SG = R3m, No. 160; total magnetic moment = 0.00 μB per cell
1.0
7.6344 -0.0013 -0.0008
6.6185 3.8052 -0.0008
6.6185 1.7664 3.3704
Co Mo Y
1 1 2
Direct
0.5514 0.5514 0.5514
0.2008 0.2008 0.2008
0.9700 0.9700 0.9700
0.7777 0.7777 0.7777

SrPmPb GGA-PBE relaxed; energy of formation = -0.3086 eV per atom; SG = I4/mmm, No. 139; total magnetic moment = 1.47 μB per cell
1.0
4.1932 0.0000 0.0000
0.0000 4.1932 0.0000
-2.0966 -2.0966 13.3066
Sr Pb Pm
2 2 2
Direct
0.0779 0.0779 0.1558
0.9221 0.9221 0.8442
0.6561 0.6561 0.3122
0.3439 0.3439 0.6878
0.7879 0.7879 0.5758
0.2121 0.2121 0.4242

Li2CeMgGe2 GGA-PBE relaxed; energy of formation = -0.5155 eV per atom; SG = P-3m1, No. 164; total magnetic moment = 0.17 μB per cell
1.0
4.3875 0.0000 0.0000
-2.1938 3.7997 0.0000
0.0000 0.0000 6.8820
Li Ce Mg Ge
2 1 1 2
Direct
0.3333 0.6667 0.6668
0.6667 0.3333 0.3332
0.0000 0.0000 0.0000
0.0000 0.0000 0.5000
0.3333 0.6667 0.2460
0.6667 0.3333 0.7540

Cu6Pt8Au GGA-PBE relaxed; energy of formation = 0.0978 eV per atom; SG = P-3, No. 147; total magnetic moment = 0.00 μB per cell
1.0
2.7719 0.0000 0.0000
0.0000 9.6554 0.0000
0.0000 -4.8277 8.3618
Cu Pt Au
6 8 1
Direct
0.7430 0.5195 0.6121
0.7430 0.3879 0.9074
0.7430 0.0926 0.4805
0.2570 0.4805 0.3879
0.2570 0.6121 0.0926
0.2570 0.9074 0.5195
0.7664 0.6908 0.9154
0.7664 0.0846 0.7753
0.7664 0.2247 0.3092
0.2336 0.3092 0.0846
0.2336 0.9154 0.2247
0.2336 0.7753 0.6908
0.7575 0.6667 0.3333
0.2425 0.3333 0.6667
0.5000 0.0000 0.0000

KAcHg17 GGA-PBE relaxed; energy of formation = -0.1338 eV per atom; SG = R3m, No. 160; total magnetic moment = 0.00 μB per cell
1.0
8.1756 0.4885 1.5111
1.3433 8.0793 1.5111
0.5428 0.4885 8.2964
K Ac Hg
1 1 17
Direct
0.6439 0.6439 0.6439
0.3216 0.3216 0.3216
0.3042 0.0011 0.6979
0.6979 0.3042 0.0011
0.0011 0.6979 0.3042
0.3042 0.6979 0.0011
0.0011 0.3042 0.6979
0.6979 0.0011 0.3042
0.3482 0.8991 0.3482
0.3482 0.3482 0.8991
0.8991 0.3482 0.3482
0.5968 0.2233 0.5968
0.5968 0.5968 0.2233
0.2233 0.5968 0.5968
0.9404 0.5745 0.9404
0.9404 0.9404 0.5745
0.5745 0.9404 0.9404
0.9442 0.9442 0.9442
0.1161 0.1161 0.1161

AcCe4Tl5 GGA-PBE relaxed; energy of formation = -0.2334 eV per atom; SG = P4/mmm, No. 123; total magnetic moment = 4.96 μB per cell
1.0
-1.0334 0.8222 3.9471
2.0016 -3.4324 1.2391
14.6922 9.2599 1.9176
Ac Ce Tl
1 4 5
Direct
0.0000 0.0000 0.0000
0.0000 0.0000 0.2190
0.0000 0.0000 0.4046
0.0000 0.0000 0.5954
0.0000 0.0000 0.7810
0.5000 0.5000 0.1155
0.5000 0.5000 0.3097
0.5000 0.5000 0.5000
0.5000 0.5000 0.6903
0.5000 0.5000 0.8845

K2Tl2Sb GGA-PBE relaxed; SG = I4/mmm, No. 139; total magnetic moment = 0.00 μB per cell; formation energy from raw total energies = -5.7 kJ per mole of atoms
1.0
4.3141 0.0000 0.0000
0.0000 4.3141 0.0000
2.1571 2.1571 11.1946
Sb Tl K
1 2 2
Direct
0.0000 0.0000 0.0000
0.7500 0.2500 0.5000
0.2500 0.7500 0.5000
0.4104 0.4104 0.1793
0.5896 0.5896 0.8207

Cu3AuI4 GGA-PBE relaxed; SG = I-42m, No. 121; total magnetic moment = 0.00 μB per cell; formation energy from raw total energies = -8.2 kJ per mole of atoms
1.0
-1.5325 4.2098 -4.2695
-5.9459 -1.6350 0.5221
2.9683 2.9334 6.3121
Cu Au I
3 1 4
Direct
0.5000 0.5000 0.0000
0.7500 0.2500 0.5000
0.2500 0.7500 0.5000
0.0000 0.0000 0.0000
0.3941 0.3941 0.2618
0.8676 0.8676 0.2618
0.1324 0.6059 0.7382
0.6059 0.1324 0.7382

K8Hg2Au GGA-PBE relaxed; energy of formation = -0.1506 eV per atom; SG = C2/m, No. 12; total magnetic moment = 0.00 μB per cell
1.0
5.9347 0.0000 0.0000
0.0000 8.3534 0.1441
-2.9674 -3.4102 10.4666
K Hg Au
8 2 1
Direct
0.4093 0.5758 0.8185
0.6573 0.9645 0.3147
0.7860 0.6883 0.5721
0.9726 0.1993 0.9453
0.2140 0.3117 0.4279
0.3427 0.0355 0.6853
0.5907 0.4242 0.1815
0.0274 0.8007 0.0547
0.8208 0.2916 0.6416
0.1792 0.7084 0.3584
0.5000 0.0000 0.0000

Cs2PdPbF6 GGA-PBE relaxed; SG = Fm-3m, No. 225; total magnetic moment = 2.00 μB per cell; formation energy from raw total energies = -210.6 kJ per mole of atoms
1.0
6.5953 0.0000 0.0000
0.0000 6.5953 0.0000
3.2976 3.2976 4.6626
Pb Cs Pd F
1 2 1 6
Direct
0.0000 0.0000 0.0000
0.7500 0.2500 0.5000
0.2500 0.7500 0.5000
0.5000 0.5000 0.0000
0.2614 0.2614 0.4771
0.7386 0.7386 0.5229
0.2613 0.2613 0.0000
0.7387 0.7387 0.0000
0.7387 0.2613 0.0000
0.2613 0.7387 0.0000

K3Os GGA-PBE relaxed; energy of formation = 1.3291 eV per atom; SG = P-6m2, No. 187; total magnetic moment = 1.15 μB per cell
1.0
-2.5178 -0.7523 -2.0632
0.1017 -1.3266 3.0646
-7.1718 10.6759 4.8593
K Os
3 1
Direct
0.0000 0.0000 0.9408
0.0000 0.0000 0.5592
0.6667 0.3333 0.2500
0.6667 0.3333 0.7500

OsRuRh GGA-PBE relaxed; energy of formation = 0.8172 eV per atom; SG = Fddd, No. 70; total magnetic moment = 0.00 μB per cell
1.0
-4.2876 -3.8633 -1.8262
4.6415 -0.7760 3.8076
-4.3580 4.3547 4.5209
Rh Os Ru
4 4 4
Direct
0.6250 0.3750 0.2500
0.1250 0.3750 0.7500
0.6250 0.3750 0.7500
0.6250 0.8750 0.2500
0.0456 0.9544 0.5000
0.7956 0.2044 0.0000
0.4544 0.5456 0.5000
0.2044 0.7956 0.0000
0.1615 0.6615 0.3230
0.0885 0.0885 0.1770
0.9115 0.9115 0.8230
0.3385 0.8385 0.6770

Tl2Cu2I5 GGA-PBE relaxed; SG = Ima2, No. 46; total magnetic moment = 0.00 μB per cell; formation energy from raw total energies = -30.0 kJ per mole of atoms
1.0
-8.1661 -0.3359 3.1843
-1.2912 -6.8651 -4.0353
7.8137 -1.3248 7.8176
Tl Cu I
4 4 10
Direct
0.1459 0.6199 0.2058
0.8541 0.4141 0.7942
0.5598 0.1199 0.2058
0.4402 0.9141 0.7942
0.0000 0.0162 0.0000
0.5000 0.5162 0.0000
0.1462 0.2894 0.5000
0.8538 0.7894 0.5000
0.2468 0.7123 0.9552
0.7532 0.7571 0.0448
0.2084 0.2123 0.9552
0.7916 0.2571 0.0448
0.2008 0.0957 0.2795
0.7992 0.8162 0.7205
0.5787 0.5957 0.2795
0.4213 0.3162 0.7205
0.1071 0.6152 0.5000
0.8929 0.1152 0.5000

CuGeP2O GGA-PBE relaxed; SG = P4/mmm, No. 123; total magnetic moment = 0.00 μB per cell; formation energy from raw total energies = 48.0 kJ per mole of atoms
1.0
4.8669 0.0000 0.0000
0.0000 4.8669 0.0000
0.0000 0.0000 3.4855
P Ge O Cu
2 1 1 1
Direct
0.0000 0.5000 0.0000
0.5000 0.0000 0.0000
0.0000 0.0000 0.0000
0.0000 0.0000 0.5000
0.5000 0.5000 0.5000

PmCoH3 GGA-PBE relaxed; SG = Pm-3m, No. 221; total magnetic moment = 0.00 μB per cell
1.0
-3.3016 -0.4130 1.3012
0.7945 -3.3504 0.9527
1.1101 1.1698 3.1880
H Co Pm
3 1 1
Direct
0.0000 0.5000 0.0000
0.0000 0.0000 0.5000
0.5000 0.0000 0.0000
0.0000 0.0000 0.0000
0.5000 0.5000 0.5000

SmLuThZn GGA-PBE relaxed; energy of formation = 0.0664 eV per atom; SG = F-43m, No. 216; total magnetic moment = 0.00 μB per cell
1.0
-0.0102 -3.9545 3.6363
4.5203 -1.2527 2.6188
0.4854 1.1536 5.2244
Zn Lu Th Sm
1 1 1 1
Direct
0.0000 0.0000 0.0000
0.5000 0.5000 0.5000
0.7500 0.7500 0.7500
0.2500 0.2500 0.2500

La2Sm2Ga GGA-PBE relaxed; energy of formation = -0.1260 eV per atom; SG = Immm, No. 71; total magnetic moment = 0.00 μB per cell
1.0
-2.6489 -1.5003 2.2788
2.8761 -5.7125 2.7552
2.0767 1.3880 6.5005
La Sm Ga
2 2 1
Direct
0.5000 0.6910 0.3090
0.5000 0.3090 0.6910
0.7323 0.7677 0.7677
0.2677 0.2323 0.2323
0.0000 0.0000 0.0000

Ba5AcMg6 GGA-PBE relaxed; energy of formation = -0.0511 eV per atom; SG = Immm, No. 71; total magnetic moment = 0.00 μB per cell
1.0
5.8957 -0.0056 -1.6530
-4.4221 8.5512 -4.4575
-0.2292 -1.2656 10.5306
Mg Ac Ba
6 1 5
Direct
0.2398 0.0787 0.4012
0.7602 0.5988 0.9213
0.7305 0.2311 0.2311
0.2695 0.7689 0.7689
0.2398 0.4012 0.0787
0.7602 0.9213 0.5988
0.0000 0.0000 0.0000
0.5000 0.1697 0.8303
0.0000 0.3348 0.6652
0.5000 0.5000 0.5000
0.0000 0.6652 0.3348
0.5000 0.8303 0.1697

Pu2MnC GGA-PBE relaxed; energy of formation = 0.3291 eV per atom; SG = R-3m, No. 166; total magnetic moment = 7.27 μB per cell
1.0
-1.9060 -2.4115 1.2164
1.0199 -3.1414 -0.1379
3.1593 -1.0377 7.3854
C Mn Pu
1 1 2
Direct
0.5000 0.5000 0.5000
0.0000 0.0000 0.0000
0.1039 0.1039 0.6884
0.8961 0.8961 0.3116

| no. | raw total energy (Ha/atom) |
| --- | --- |
| 1 | -0.1225 |
| 2 | -0.2807 |
| 3 | -0.1356 |
| 4 | -0.1451 |
| 5 | -0.1830 |
| 6 | -0.0249 |
| 7 | -0.1544 |
| 8 | -0.0834 |
| 9 | -0.1031 |
| 10 | -0.0478 |
| 11 | -0.1604 |
| 12 | -0.0846 |
| 13 | -0.3112 |
| 14 | -0.0958 |
| 15 | -0.1617 |
| 16 | -0.1769 |
| 17 | -0.1623 |
| 18 | -0.1687 |
| 19 | -0.0732 |
| 20 | -0.4202 |